This record from Alexandria via LeMat-Bulk describes crystalline Pm3LuO at its relaxed geometry. The functional is PBE-GGA.

Cell lengths 5.0378, 5.0378, 5.0378 Å; angles 90.00, 90.00, 90.00 degrees
Element x y z (fractional)
Lu1 0.5000 0.5000 0.5000
O1 0.0000 0.0000 0.0000
Pm1 0.0000 0.5000 0.0000
Pm2 0.0000 0.0000 0.5000
Pm3 0.5000 0.0000 0.0000

Space group: No. 221
Crystal system: cubic
Magnetization, μB/f.u.: 0.00
Formation energy from raw total energies, eV per atom: -1.119